# 1
# LuCuBi, optimized geometry, DFT PBE
data_LuCuBi
_cell_length_a 4.054
_cell_length_b 4.054
_cell_length_c 8.735
_cell_angle_alpha 90.00
_cell_angle_beta 90.00
_cell_angle_gamma 90.00
_symmetry_space_group_name_H-M 'I 4 m m'
_symmetry_Int_Tables_number 107
_symmetry_space_group_name_Hall 'I 4 -2'
loop_
_atom_site_label
_atom_site_type_symbol
_atom_site_fract_x
_atom_site_fract_y
_atom_site_fract_z
Lu1 Lu 0.000 0.000 0.000
Cu1 Cu 0.000 0.000 0.335
Bi1 Bi 0.000 0.000 0.654
# - density of states at the Fermi level (states/eV per atom) = 0.870
# - raw total energy (eV per atom) = -4.250
# - energy of formation (meV/atom) = -84
# - crystal system = tetragonal
# - total magnetization (Bohr magnetons per cell) = 0.00

***

# 2
# HoMo5, optimized geometry, DFT PBE
data_HoMo5
_cell_length_a 4.689
_cell_length_b 13.693
_cell_length_c 3.213
_cell_angle_alpha 90.00
_cell_angle_beta 90.00
_cell_angle_gamma 90.00
_symmetry_space_group_name_H-M 'C m m m'
_symmetry_Int_Tables_number 65
_symmetry_space_group_name_Hall '-C 2 2'
loop_
_atom_site_label
_atom_site_type_symbol
_atom_site_fract_x
_atom_site_fract_y
_atom_site_fract_z
Ho1 Ho 0.000 0.000 0.000
Mo1 Mo 0.000 0.177 0.500
Mo2 Mo 0.000 0.331 0.000
Mo3 Mo 0.000 0.500 0.500
# - density of states at the Fermi level (states/eV per atom) = 0.784
# - raw total energy (eV per atom) = -9.571
# - energy of formation (meV/atom) = 218
# - crystal system = orthorhombic
# - total magnetization (Bohr magnetons per cell) = 0.00

***

# 3
# CaCe2Te4, optimized geometry, DFT PBE
data_CaCe2Te4
_cell_length_a 9.525
_cell_length_b 9.525
_cell_length_c 9.651
_cell_angle_alpha 90.00
_cell_angle_beta 90.00
_cell_angle_gamma 90.00
_symmetry_space_group_name_H-M 'I -4 2 d'
_symmetry_Int_Tables_number 122
_symmetry_space_group_name_Hall 'I -4 2bw'
loop_
_atom_site_label
_atom_site_type_symbol
_atom_site_fract_x
_atom_site_fract_y
_atom_site_fract_z
Ca1 Ca 0.000 0.000 0.000
Ce1 Ce 0.126 0.250 0.625
Te1 Te 0.075 0.178 0.303
# - density of states at the Fermi level (states/eV per atom) = 2.085
# - raw total energy (eV per atom) = -5.205
# - formation energy (no corrections) (meV per atom) = -1428.9
# - polymorph energy (0 for the lowest one) (meV per atom) = 0.0
# - crystal system = tetragonal
# - total magnetization (Bohr magnetons per cell) = 8.01

***

# 4
# CeTh, optimized geometry, DFT PBE
data_CeTh
_cell_length_a 6.198
_cell_length_b 6.198
_cell_length_c 6.198
_cell_angle_alpha 90.00
_cell_angle_beta 90.00
_cell_angle_gamma 90.00
_symmetry_space_group_name_H-M 'F m -3 m'
_symmetry_Int_Tables_number 225
_symmetry_space_group_name_Hall '-F 4 2 3'
loop_
_atom_site_label
_atom_site_type_symbol
_atom_site_fract_x
_atom_site_fract_y
_atom_site_fract_z
Ce1 Ce 0.000 0.000 0.000
Th1 Th 0.000 0.000 0.500
# - density of states at the Fermi level (states/eV per atom) = 2.773
# - raw total energy (eV per atom) = -5.983
# - polymorph energy (0 for the lowest one) (meV per atom) = 672.9
# - energy of formation (meV/atom) = 693
# - crystal system = cubic
# - total magnetization (Bohr magnetons per cell) = 0.00

***

# 5
# Be2CuRu, optimized geometry, DFT PBE
data_Be2CuRu
_cell_length_a 2.795
_cell_length_b 4.188
_cell_length_c 7.702
_cell_angle_alpha 90.00
_cell_angle_beta 90.00
_cell_angle_gamma 90.00
_symmetry_space_group_name_H-M 'C m m 2'
_symmetry_Int_Tables_number 35
loop_
_symmetry_equiv_pos_as_xyz
'x,y,z'
'-x,-y,z'
'-x,y,z'
'x,-y,z'
'x+1/2,y+1/2,z'
'-x+1/2,-y+1/2,z'
'-x+1/2,y+1/2,z'
'x+1/2,-y+1/2,z'
loop_
_atom_site_label
_atom_site_type_symbol
_atom_site_fract_x
_atom_site_fract_y
_atom_site_fract_z
Be1 Be 0.000 0.000 0.000
Be2 Be 0.000 0.500 0.232
Cu1 Cu 0.000 0.000 0.465
Ru1 Ru 0.000 0.500 0.760
# - density of states at the Fermi level (states/eV per atom) = 0.722
# - raw total energy (eV per atom) = -5.011
# - polymorph energy (0 for the lowest one) (meV per atom) = 500.1
# - energy of formation (meV/atom) = 195
# - crystal system = orthorhombic
# - total magnetization (Bohr magnetons per cell) = 0.36

***

# 6
# LiNpSnI6, optimized geometry, DFT PBE
data_LiNpSnI6
_cell_length_a 7.6838
_cell_length_b 7.6838
_cell_length_c 14.3467
_cell_angle_alpha 90.00
_cell_angle_beta 90.00
_cell_angle_gamma 120.00
_symmetry_space_group_name_H-M 'P -3 1 c'
_symmetry_Int_Tables_number 163
_symmetry_space_group_name_Hall '-P 3 2c'
loop_
_atom_site_label
_atom_site_type_symbol
_atom_site_fract_x
_atom_site_fract_y
_atom_site_fract_z
Li1 Li 0.3333 0.6667 0.2500
Np1 Np 0.3333 0.6667 0.7500
Sn1 Sn 0.0000 0.0000 0.0000
I1 I 0.0075 0.3507 0.1264
# - density of states at the Fermi level (states/eV per atom) = 0.463
# - raw total energy (eV per atom) = -3.907
# - formation energy (no corrections) (meV per atom) = -778.0
# - crystal system = trigonal
# - total magnetization (Bohr magnetons per cell) = 8.00

***

# 7
# YC3, optimized geometry, DFT PBE
data_YC3
_cell_length_a 3.430
_cell_length_b 3.430
_cell_length_c 15.277
_cell_angle_alpha 90.00
_cell_angle_beta 90.00
_cell_angle_gamma 90.00
_symmetry_space_group_name_H-M 'I 4/m m m'
_symmetry_Int_Tables_number 139
_symmetry_space_group_name_Hall '-I 4 2'
loop_
_atom_site_label
_atom_site_type_symbol
_atom_site_fract_x
_atom_site_fract_y
_atom_site_fract_z
Y1 Y 0.000 0.000 0.131
C1 C 0.000 0.000 0.451
C2 C 0.000 0.500 0.000
C3 C 0.000 0.500 0.250
# - density of states at the Fermi level (states/eV per atom) = 0.280
# - raw total energy (eV per atom) = -6.901
# - polymorph energy (0 for the lowest one) (meV per atom) = 1370.6
# - energy of formation (meV/atom) = 1633
# - crystal system = tetragonal
# - total magnetization (Bohr magnetons per cell) = 0.00

***

# 8
# TbEr2MgHg4, optimized geometry, DFT PBE
data_TbEr2MgHg4
_cell_length_a 5.1343
_cell_length_b 5.1343
_cell_length_c 25.6005
_cell_angle_alpha 90.00
_cell_angle_beta 90.00
_cell_angle_gamma 120.00
_symmetry_space_group_name_H-M 'R -3 m'
_symmetry_Int_Tables_number 166
_symmetry_space_group_name_Hall '-R 3 2"'
loop_
_atom_site_label
_atom_site_type_symbol
_atom_site_fract_x
_atom_site_fract_y
_atom_site_fract_z
Tb1 Tb 0.0000 0.0000 0.0000
Er1 Er 0.0000 0.0000 0.2454
Mg1 Mg 0.0000 0.0000 0.5000
Hg1 Hg 0.0000 0.0000 0.1251
Hg2 Hg 0.0000 0.0000 0.3746
# - density of states at the Fermi level (states/eV per atom) = 0.512
# - raw total energy (eV per atom) = -2.526
# - energy of formation (meV/atom) = -456
# - crystal system = trigonal
# - total magnetization (Bohr magnetons per cell) = 0.00

***

# 9
# CePuSbTe, optimized geometry, DFT PBE
data_CePuSbTe
_cell_length_a 7.648
_cell_length_b 7.648
_cell_length_c 7.648
_cell_angle_alpha 90.00
_cell_angle_beta 90.00
_cell_angle_gamma 90.00
_symmetry_space_group_name_H-M 'F -4 3 m'
_symmetry_Int_Tables_number 216
_symmetry_space_group_name_Hall 'F -4 2 3'
loop_
_atom_site_label
_atom_site_type_symbol
_atom_site_fract_x
_atom_site_fract_y
_atom_site_fract_z
Ce1 Ce 0.000 0.000 0.000
Pu1 Pu 0.000 0.000 0.500
Sb1 Sb 0.250 0.250 0.750
Te1 Te 0.250 0.250 0.250
# - density of states at the Fermi level (states/eV per atom) = 3.414
# - raw total energy (eV per atom) = -7.806
# - formation energy (no corrections) (meV per atom) = -924.0
# - crystal system = cubic
# - total magnetization (Bohr magnetons per cell) = 27.74

***

# 10
# Na2SiRh2, optimized geometry, DFT PBE
data_Na2SiRh2
_cell_length_a 6.076
_cell_length_b 6.076
_cell_length_c 4.954
_cell_angle_alpha 90.00
_cell_angle_beta 90.00
_cell_angle_gamma 90.00
_symmetry_space_group_name_H-M 'P 4/m b m'
_symmetry_Int_Tables_number 127
_symmetry_space_group_name_Hall '-P 4 2ab'
loop_
_atom_site_label
_atom_site_type_symbol
_atom_site_fract_x
_atom_site_fract_y
_atom_site_fract_z
Na1 Na 0.170 0.330 0.000
Si1 Si 0.000 0.000 0.500
Rh1 Rh 0.150 0.650 0.500
# - density of states at the Fermi level (states/eV per atom) = 0.173
# - raw total energy (eV per atom) = -4.846
# - formation energy (no corrections) (meV per atom) = -292.7
# - crystal system = tetragonal
# - total magnetization (Bohr magnetons per cell) = 0.00

***

Q: Which of these has the highest raw total energy?
A: TbEr2MgHg4

***

Q: Which of these has the highest raw total energy?
A: TbEr2MgHg4

***

Q: What is the formula in the eighth record?
A: TbEr2MgHg4